## LaUMoO6 (PBE with a Hubbard U)

Data for a geometry-optimized LaUMoO6 structure.

## Properties
* DFT total energy: -157.78 eV per cell
* total moment: 6.00 Bohr magnetons per cell

a = 5.5857 Å, b = 5.5857 Å, c = 10.3779 Å
α = 90.00°, β = 90.00°, γ = 120.00°
Sites, in units of the cell vectors:
La: 0.0000 0.0000 0.0000
La: 0.0000 0.0000 0.5000
U: 0.6667 0.3333 0.2500
U: 0.3333 0.6667 0.7500
Mo: 0.3333 0.6667 0.2500
Mo: 0.6667 0.3333 0.7500
O: 0.6500 0.6425 0.1411
O: 0.9925 0.3500 0.1411
O: 0.3500 0.9925 0.6411
O: 0.0075 0.6500 0.8589
O: 0.3575 0.3500 0.3589
O: 0.9925 0.6425 0.3589
O: 0.6425 0.9925 0.8589
O: 0.6500 0.0075 0.3589
O: 0.0075 0.3575 0.6411
O: 0.3575 0.0075 0.1411
O: 0.6425 0.6500 0.6411
O: 0.3500 0.3575 0.8589